Compound: Bi2TeCl3
Source: Alexandria
Functional: PBE
Structure: relaxed Values from VASP.

Results
Formation energy (no corrections): -607 meV/atom

Geometry as Quantum ESPRESSO input:
```
&SYSTEM
  ibrav = 0, nat = 12, ntyp = 3
/
ATOMIC_SPECIES
Bi 208.98 Bi.upf
Te 127.60 Te.upf
Cl 35.45 Cl.upf
CELL_PARAMETERS angstrom
4.642 0.000 0.000
2.321 8.681 -0.152
2.321 2.086 10.900
ATOMIC_POSITIONS angstrom
Bi 6.962 4.933 9.554
Bi 2.321 5.834 1.194
Bi 4.642 2.354 6.993
Bi 4.642 8.413 3.755
Te 4.642 5.245 7.611
Te 4.642 5.522 3.137
Cl 2.321 2.148 8.801
Cl 6.962 8.619 1.947
Cl 6.962 7.594 9.917
Cl 2.321 3.173 0.831
Cl 6.962 8.129 5.354
Cl 2.321 2.637 5.394
```